A relaxed structure of TlCdFePd. Source: OQMD, functional PBE.

Output
VASP energy = -4.0050 eV per atom
Space group = F-43m, No. 216
Calculated volume = 71.47 Å³ per cell
Energy above the lowest structure with this stoichiometry = 0 meV/atom
M_tot = 2.62 μB/f.u.

Unit cell a=4.6581 b=4.6581 c=4.6581 alpha=60.00 beta=60.00 gamma=60.00
Closest atoms and distances in Å follow each position.
Fractional positions:
1 Cd 0.5000 0.5000 0.5000  4 Fe 2.85, 4 Pd 2.85
2 Fe 0.7500 0.7500 0.7500  4 Tl 2.85, 4 Cd 2.85
3 Tl 0.0000 0.0000 0.0000  4 Fe 2.85, 4 Pd 2.85
4 Pd 0.2500 0.2500 0.2500  4 Cd 2.85, 4 Tl 2.85